Entry 1:
Entry from Alexandria: a relaxed structure of SiTcRu2 (GGA-PBE).

Geometry as POSCAR:
```
SiTcRu2
1.0
1.3808 0.7972 8.3163
-1.3808 0.7972 8.3163
0.0000 -1.5944 8.3163
Si Tc Ru
1 1 2
Cartesian
0.0000 0.0000 0.0000
0.0000 0.0000 12.4745
0.0000 0.0000 6.3552
0.0000 0.0000 18.5937
```

Entry 2:
Entry from Alexandria: a relaxed structure of SiTcRu2 (GGA-PBE).

Geometry as POSCAR:
```
SiTcRu2
1.0
2.8038 0.0000 0.0000
0.0000 3.8145 0.0000
0.0000 0.0000 5.2128
Si Tc Ru
1 1 2
Cartesian
0.0000 0.0000 0.0000
1.4019 1.9072 1.5129
0.0000 0.0000 2.5766
1.4019 1.9072 4.2582
```

Entry 3:
Entry from Alexandria: a relaxed structure of SiTcRu2 (GGA-PBE).

Geometry as POSCAR:
```
SiTcRu2
1.0
0.0000 3.0235 3.0235
3.0235 0.0000 3.0235
3.0235 3.0235 0.0000
Si Tc Ru
1 1 2
Cartesian
0.0000 0.0000 0.0000
4.5353 4.5353 4.5353
1.5118 1.5118 1.5118
3.0235 3.0235 3.0235
```

no.,calculated density (g cm⁻³),formation energy from raw total energies (kJ/mol of atoms)
1,9.9,-12.42
2,9.8,-11.41
3,9.9,-3.73